1.
Pm6Pr2SmEr3: relaxed, PBE.

- Calculated density: 7.4 Mg/m³
- Raw total energy: -4.69 eV per atom
- Symmetry: C2/m, No. 12

Unit cell a=6.2847 b=6.2847 c=11.9733 alpha=95.01 beta=95.01 gamma=120.01
Fractional coordinates of all 12 atoms:
Pm 0.9151 0.5823 0.7449
Pm 0.7521 0.7521 0.2551
Pm 0.0849 0.4177 0.2551
Pm 0.5823 0.9151 0.7449
Pm 0.2479 0.2479 0.7449
Pm 0.4177 0.0849 0.2551
Pr 0.3333 0.6667 0.0000
Pr 0.6667 0.3333 0.0000
Sm 0.0000 0.0000 0.0000
Er 0.1665 0.8335 0.5000
Er 0.8335 0.1665 0.5000
Er 0.5000 0.5000 0.5000

=====

2.
PmPrSmEr3: relaxed, PBE.

- Calculated density: 7.9 Mg/m³
- Raw total energy: -4.47 eV per atom
- Symmetry: C2/m, No. 12

Unit cell a=5.6103 b=10.3045 c=7.1080 alpha=90.11 beta=90.00 gamma=105.80
Fractional coordinates of all 12 atoms:
Pm 0.0542 0.1085 0.2564
Pm 0.9458 0.8915 0.7436
Pr 0.3530 0.7060 0.9633
Pr 0.6470 0.2940 0.0367
Sm 0.6488 0.2976 0.4590
Sm 0.3512 0.7024 0.5410
Er 0.8353 0.6705 0.2570
Er 0.7783 0.5566 0.7519
Er 0.4759 0.9518 0.2555
Er 0.2217 0.4434 0.2481
Er 0.5241 0.0482 0.7445
Er 0.1647 0.3295 0.7430

=====

3.
PmPrSm4Er2: relaxed, PBE.

- Calculated density: 7.4 Mg/m³
- Raw total energy: -4.29 eV per atom
- Symmetry: C2/c, No. 15

Unit cell a=9.5741 b=9.5741 c=11.9083 alpha=128.53 beta=128.53 gamma=88.05
Fractional coordinates of all 16 atoms:
Pm 0.5000 0.5000 0.5000
Pm 0.0000 0.0000 0.0000
Pr 0.0000 0.5000 0.0000
Pr 0.0000 0.5000 0.5000
Sm 0.2547 0.7462 0.9960
Sm 0.7538 0.2453 0.5040
Sm 0.2462 0.7546 0.4960
Sm 0.7454 0.2538 0.0040
Sm 0.7185 0.7248 0.9742
Sm 0.7751 0.7815 0.5258
Sm 0.2248 0.2185 0.4742
Sm 0.2815 0.2752 0.0258
Er 0.5000 0.0000 0.0000
Er 0.5000 0.0000 0.5000
Er 0.0000 0.0000 0.5000
Er 0.5000 0.5000 0.0000

=====

4.
Pm5PrSmEr2: relaxed, PBE.

- Calculated density: 7.3 Mg/m³
- Raw total energy: -4.56 eV per atom
- Symmetry: Cmc2_1, No. 36

Unit cell a=5.7041 b=10.5953 c=10.6230 alpha=90.00 beta=90.00 gamma=105.62
Fractional coordinates of all 18 atoms:
Pm 0.3900 0.7800 0.0259
Pm 0.7200 0.4400 0.8121
Pm 0.4772 0.9543 0.7395
Pm 0.2971 0.5943 0.7072
Pm 0.9834 0.9669 0.5232
Pm 0.6100 0.2200 0.5259
Pm 0.2800 0.5600 0.3121
Pm 0.5228 0.0457 0.2395
Pm 0.7029 0.4057 0.2072
Pm 0.0166 0.0331 0.0232
Pr 0.5862 0.1723 0.9485
Pr 0.4138 0.8277 0.4485
Sm 0.8003 0.6005 0.5119
Sm 0.1997 0.3995 0.0119
Er 0.8836 0.7671 0.8225
Er 0.1130 0.2260 0.7332
Er 0.1164 0.2329 0.3225
Er 0.8870 0.7740 0.2332